Computed, not measured: an optimized crystal structure of Nd3Cu3Rh2 at the PBE level of DFT.

Values from the calculation:
Crystal system   orthorhombic
E_form   -0.4034 eV/atom
VASP energy   -5.565 eV per atom

a = 4.163 Å, b = 10.642 Å, c = 15.549 Å
α = 90.00°, β = 90.00°, γ = 90.00°
Space group Cmcm (No. 63)
One atom of each set of equivalent atoms:
Nd: 0.000 0.102 0.250 x4
Nd: 0.000 0.372 0.088 x8
Cu: 0.000 0.083 0.052 x8
Cu: 0.000 0.180 0.750 x4
Rh: 0.000 0.323 0.619 x8



Computed, not measured: an optimized crystal structure of TaZn2AuC at the PBE level of DFT.

Values from the calculation:
Crystal system   tetragonal
E_form   1.9917 eV/atom
VASP energy   -3.389 eV per atom

a = 4.668 Å, b = 4.668 Å, c = 5.146 Å
α = 90.00°, β = 90.00°, γ = 90.00°
Space group P4/mmm (No. 123)
One atom of each set of equivalent atoms:
Ta: 0.000 0.000 0.000 x1
Zn: 0.000 0.500 0.500 x2
Au: 0.000 0.000 0.500 x1
C: 0.500 0.500 0.000 x1



Computed, not measured: an optimized crystal structure of Ba2Ga6RuPt at the PBE level of DFT.

Values from the calculation:
Crystal system   triclinic
E_form   -0.5116 eV/atom
VASP energy   -4.244 eV per atom

a = 6.690 Å, b = 6.695 Å, c = 7.078 Å
α = 90.04°, β = 118.18°, γ = 119.97°
Space group P-1 (No. 2)
One atom of each set of equivalent atoms:
Ba: 0.072 0.288 0.359 x2
Ga: 0.001 0.250 0.832 x2
Ga: 0.419 0.170 0.168 x2
Ga: 0.421 0.751 0.169 x2
Ru: 0.500 0.500 0.000 x1
Pt: 0.500 0.000 0.500 x1



Computed, not measured: an optimized crystal structure of Pu3H6Rh at the PBE level of DFT.

Values from the calculation:
Crystal system   orthorhombic
VASP energy   -7.365 eV per atom

a = 8.475 Å, b = 10.746 Å, c = 5.033 Å
α = 90.00°, β = 90.00°, γ = 90.00°
Space group Cmc2_1 (No. 36)
One atom of each set of equivalent atoms:
Pu: 0.000 0.131 0.000 x4
Pu: 0.202 0.383 0.996 x8
H: 0.000 0.163 0.484 x4
H: 0.000 0.474 0.680 x4
H: 0.141 0.000 0.249 x8
H: 0.209 0.336 0.494 x8
Rh: 0.000 0.325 0.507 x4



Computed, not measured: an optimized crystal structure of BeRu2Pt at the PBE level of DFT.

Values from the calculation:
Crystal system   orthorhombic
E_form   0.2047 eV/atom
VASP energy   -6.875 eV per atom

a = 2.797 Å, b = 4.553 Å, c = 8.436 Å
α = 90.00°, β = 90.00°, γ = 90.00°
Space group Cmmm (No. 65)
One atom of each set of equivalent atoms:
Be: 0.000 0.000 0.000 x2
Ru: 0.000 0.500 0.217 x4
Pt: 0.000 0.000 0.500 x2



Computed, not measured: an optimized crystal structure of Rb2AcAlF8 at the PBE level of DFT.

Values from the calculation:
Crystal system   monoclinic
VASP energy   -5.492 eV per atom
Formation energy from raw total energies   -41.15 eV/f.u.

a = 4.586 Å, b = 7.338 Å, c = 6.344 Å
α = 90.00°, β = 94.99°, γ = 90.00°
Space group P2/m (No. 10)
One atom of each set of equivalent atoms:
Rb: 0.000 0.221 0.000 x2
Ac: 0.500 0.500 0.500 x1
Al: 0.500 0.000 0.500 x1
F: 0.033 0.500 0.284 x2
F: 0.168 0.000 0.340 x2
F: 0.395 0.199 0.677 x4



Computed, not measured: an optimized crystal structure of LaAsSBr2 at the PBE level of DFT.

Values from the calculation:
Energy relative to the lowest polymorph listed for this composition   0.00 eV per formula unit
Crystal system   tetragonal
VASP energy   -3.753 eV per atom
Formation energy from raw total energies   -1.71 eV/f.u.

a = 5.118 Å, b = 5.118 Å, c = 5.059 Å
α = 90.00°, β = 90.00°, γ = 90.00°
Space group P4/mmm (No. 123)
One atom of each set of equivalent atoms:
La: 0.000 0.000 0.000 x1
As: 0.500 0.500 0.000 x1
S: 0.500 0.500 0.500 x1
Br: 0.000 0.500 0.500 x2



Computed, not measured: an optimized crystal structure of PH3Br3 at the PBE level of DFT.

Values from the calculation:
Crystal system   monoclinic
VASP energy   -3.022 eV per atom

a = 10.691 Å, b = 10.697 Å, c = 5.871 Å
α = 90.00°, β = 118.94°, γ = 90.00°
Space group C2/m (No. 12)
One atom of each set of equivalent atoms:
P: 0.245 0.000 0.404 x4
H: 0.095 0.000 0.296 x4
H: 0.195 0.392 0.440 x8
Br: 0.000 0.210 0.500 x4
Br: 0.000 0.225 0.000 x4
Br: 0.188 0.500 0.886 x4



Computed, not measured: an optimized crystal structure of RbTe2PdN at the PBE level of DFT.

Values from the calculation:
Energy relative to the lowest polymorph listed for this composition   0.00 eV per formula unit
Crystal system   tetragonal
VASP energy   -3.868 eV per atom
Formation energy from raw total energies   1.43 eV/f.u.

a = 6.117 Å, b = 6.117 Å, c = 3.679 Å
α = 90.00°, β = 90.00°, γ = 90.00°
Space group P4/mmm (No. 123)
One atom of each set of equivalent atoms:
Rb: 0.000 0.000 0.000 x1
Te: 0.000 0.500 0.500 x2
Pd: 0.500 0.500 0.500 x1
N: 0.500 0.500 0.000 x1



Computed, not measured: an optimized crystal structure of TaP2Pb at the PBE level of DFT.

Values from the calculation:
Crystal system   trigonal
E_form   -0.1694 eV/atom
VASP energy   -6.765 eV per atom

a = 3.5138 Å, b = 3.5138 Å, c = 23.4865 Å
α = 90.00°, β = 90.00°, γ = 120.00°
Space group R-3m (No. 166, hexagonal axes)
One atom of each set of equivalent atoms:
Ta: 0.0000 0.0000 0.0000 x3
P: 0.0000 0.0000 0.2690 x6
Pb: 0.0000 0.0000 0.5000 x3



Computed, not measured: an optimized crystal structure of Zn3Pt4Rh at the PBE level of DFT.

Values from the calculation:
Crystal system   orthorhombic
E_form   -0.3970 eV/atom
VASP energy   -4.814 eV per atom

a = 9.040 Å, b = 5.583 Å, c = 4.689 Å
α = 90.00°, β = 90.00°, γ = 90.00°
Space group Pmma (No. 51)
One atom of each set of equivalent atoms:
Zn: 0.000 0.000 0.000 x2
Zn: 0.250 0.000 0.367 x2
Zn: 0.250 0.500 0.356 x2
Pt: 0.000 0.249 0.500 x4
Pt: 0.250 0.251 0.863 x4
Rh: 0.000 0.500 0.000 x2



Computed, not measured: an optimized crystal structure of Ac3HgSb2Pd9 at the PBE level of DFT.

Values from the calculation:
Crystal system   trigonal
VASP energy   -5.065 eV per atom
Formation energy from raw total energies   -8.37 eV/f.u.

a = 6.5199 Å, b = 6.5199 Å, c = 10.7194 Å
α = 90.00°, β = 90.00°, γ = 120.00°
Space group P-3m1 (No. 164)
One atom of each set of equivalent atoms:
Ac: 0.0000 0.0000 0.0000 x1
Ac: 0.3333 0.6667 0.7411 x2
Hg: 0.0000 0.0000 0.5000 x1
Sb: 0.3333 0.6667 0.1718 x2
Pd: 0.0000 0.5000 0.0000 x3
Pd: 0.1369 0.2738 0.2840 x6